No. 1
ThNpBe after structural relaxation, computed with PBE.

abc: 4.665 4.665 4.665
angles: 60.00 60.00 60.00
Fractional positions:
1 Th 0.000 0.000 0.000
2 Np 0.500 0.500 0.500
3 Be 0.750 0.750 0.750

For the total magnetization, the calculation gives 4.13 μB per formula unit. The total DFT energy (no corrections) comes out at -7.3533 eV per atom.

No. 2
TmNpBe after structural relaxation, computed with PBE.

abc: 4.642 4.642 4.642
angles: 60.00 60.00 60.00
Fractional positions:
1 Tm 0.000 0.000 0.000
2 Np 0.250 0.250 0.250
3 Be 0.750 0.750 0.750

For the total magnetization, the calculation gives 4.29 μB per formula unit. The total DFT energy (no corrections) comes out at -5.7630 eV per atom.

No. 3
YNpBe after structural relaxation, computed with PBE.

abc: 4.671 4.671 4.671
angles: 60.00 60.00 60.00
Fractional positions:
1 Y 0.000 0.000 0.000
2 Np 0.500 0.500 0.500
3 Be 0.750 0.750 0.750

For the total magnetization, the calculation gives 4.55 μB per formula unit. As for the energy above the most stable polymorph in this dataset: 0 meV per atom. The total DFT energy (no corrections) comes out at -6.9299 eV per atom.

No. 4
NpBeZn after structural relaxation, computed with PBE.

abc: 4.416 4.416 4.416
angles: 60.00 60.00 60.00
Fractional positions:
1 Np 0.000 0.000 0.000
2 Be 0.500 0.500 0.500
3 Zn 0.750 0.750 0.750

For the total magnetization, the calculation gives 3.73 μB per formula unit. The total DFT energy (no corrections) comes out at -5.1346 eV per atom.